VASP calculation (PBE+U) on a geometry-optimized TiMnO2F structure.

Cell and atoms, written as CIF:
```
data_TiMnO2F
_cell_length_a 3.9181
_cell_length_b 3.9181
_cell_length_c 3.9661
_cell_angle_alpha 90.00
_cell_angle_beta 90.00
_cell_angle_gamma 90.00
_space_group_name_H-M_alt 'P 1'
_space_group_IT_number 1
loop_
_space_group_symop_operation_xyz
'x,y,z'
loop_
_atom_site_label
_atom_site_type_symbol
_atom_site_fract_x
_atom_site_fract_y
_atom_site_fract_z
_atom_site_occupancy
Ti1 Ti 0.0000 0.0000 0.0000 1
Mn1 Mn 0.5000 0.5000 0.5000 1
O1 O 0.0000 0.5000 0.0000 1
O2 O 0.5000 0.0000 0.0000 1
F1 F 0.0000 0.0000 0.5000 1
```

Output
DOS at the Fermi energy (states/eV/f.u.): 2.20
Space group: P4/mmm, No. 123
Crystal system: tetragonal

VASP calculation (PBE+U) on a geometry-optimized MnTlOF2 structure.

Cell and atoms, written as CIF:
```
data_MnTlOF2
_cell_length_a 4.5926
_cell_length_b 4.5926
_cell_length_c 4.2145
_cell_angle_alpha 90.00
_cell_angle_beta 90.00
_cell_angle_gamma 90.00
_space_group_name_H-M_alt 'P 1'
_space_group_IT_number 1
loop_
_space_group_symop_operation_xyz
'x,y,z'
loop_
_atom_site_label
_atom_site_type_symbol
_atom_site_fract_x
_atom_site_fract_y
_atom_site_fract_z
_atom_site_occupancy
Mn1 Mn 0.0000 0.0000 0.0000 1
Tl1 Tl 0.5000 0.5000 0.5000 1
O1 O 0.5000 0.5000 0.0000 1
F1 F 0.0000 0.5000 0.5000 1
F2 F 0.5000 0.0000 0.5000 1
```

Output
DOS at the Fermi energy (states/eV/f.u.): 1.41
Space group: P4/mmm, No. 123
Distance to the lowest polymorph of the same formula (meV per atom): 835
Crystal system: tetragonal

VASP calculation (PBE+U) on a geometry-optimized MnTlOF2 structure.

Cell and atoms, written as CIF:
```
data_MnTlOF2
_cell_length_a 4.3023
_cell_length_b 4.3023
_cell_length_c 3.8666
_cell_angle_alpha 90.00
_cell_angle_beta 90.00
_cell_angle_gamma 90.00
_space_group_name_H-M_alt 'P 1'
_space_group_IT_number 1
loop_
_space_group_symop_operation_xyz
'x,y,z'
loop_
_atom_site_label
_atom_site_type_symbol
_atom_site_fract_x
_atom_site_fract_y
_atom_site_fract_z
_atom_site_occupancy
Mn1 Mn 0.0000 0.0000 0.0000 1
Tl1 Tl 0.5000 0.5000 0.5000 1
O1 O 0.0000 0.0000 0.5000 1
F1 F 0.0000 0.5000 0.0000 1
F2 F 0.5000 0.0000 0.0000 1
```

Output
DOS at the Fermi energy (states/eV/f.u.): 1.46
Space group: P4/mmm, No. 123
Distance to the lowest polymorph of the same formula (meV per atom): 0
Crystal system: tetragonal

VASP calculation (PBE+U) on a geometry-optimized MnVOF2 structure.

Cell and atoms, written as CIF:
```
data_MnVOF2
_cell_length_a 4.1909
_cell_length_b 4.1909
_cell_length_c 3.7731
_cell_angle_alpha 90.00
_cell_angle_beta 90.00
_cell_angle_gamma 90.00
_space_group_name_H-M_alt 'P 1'
_space_group_IT_number 1
loop_
_space_group_symop_operation_xyz
'x,y,z'
loop_
_atom_site_label
_atom_site_type_symbol
_atom_site_fract_x
_atom_site_fract_y
_atom_site_fract_z
_atom_site_occupancy
Mn1 Mn 0.0000 0.0000 0.0000 1
V1 V 0.5000 0.5000 0.5000 1
O1 O 0.5000 0.5000 0.0000 1
F1 F 0.0000 0.5000 0.5000 1
F2 F 0.5000 0.0000 0.5000 1
```

Output
DOS at the Fermi energy (states/eV/f.u.): 3.45
Space group: P4/mmm, No. 123
Distance to the lowest polymorph of the same formula (meV per atom): 0
Crystal system: tetragonal

VASP calculation (PBE+U) on a geometry-optimized MnVOF2 structure.

Cell and atoms, written as CIF:
```
data_MnVOF2
_cell_length_a 4.0418
_cell_length_b 4.0418
_cell_length_c 4.0534
_cell_angle_alpha 90.00
_cell_angle_beta 90.00
_cell_angle_gamma 90.00
_space_group_name_H-M_alt 'P 1'
_space_group_IT_number 1
loop_
_space_group_symop_operation_xyz
'x,y,z'
loop_
_atom_site_label
_atom_site_type_symbol
_atom_site_fract_x
_atom_site_fract_y
_atom_site_fract_z
_atom_site_occupancy
Mn1 Mn 0.0000 0.0000 0.0000 1
V1 V 0.5000 0.5000 0.5000 1
O1 O 0.0000 0.0000 0.5000 1
F1 F 0.0000 0.5000 0.0000 1
F2 F 0.5000 0.0000 0.0000 1
```

Output
DOS at the Fermi energy (states/eV/f.u.): 1.40
Space group: P4/mmm, No. 123
Distance to the lowest polymorph of the same formula (meV per atom): 637
Crystal system: tetragonal

VASP calculation (PBE+U) on a geometry-optimized MnWOF2 structure.

Cell and atoms, written as CIF:
```
data_MnWOF2
_cell_length_a 4.2935
_cell_length_b 4.2935
_cell_length_c 4.2521
_cell_angle_alpha 90.00
_cell_angle_beta 90.00
_cell_angle_gamma 90.00
_space_group_name_H-M_alt 'P 1'
_space_group_IT_number 1
loop_
_space_group_symop_operation_xyz
'x,y,z'
loop_
_atom_site_label
_atom_site_type_symbol
_atom_site_fract_x
_atom_site_fract_y
_atom_site_fract_z
_atom_site_occupancy
Mn1 Mn 0.0000 0.0000 0.0000 1
W1 W 0.5000 0.5000 0.5000 1
O1 O 0.5000 0.5000 0.0000 1
F1 F 0.0000 0.5000 0.5000 1
F2 F 0.5000 0.0000 0.5000 1
```

Output
DOS at the Fermi energy (states/eV/f.u.): 0.84
Space group: P4/mmm, No. 123
Distance to the lowest polymorph of the same formula (meV per atom): 0
Crystal system: tetragonal

VASP calculation (PBE+U) on a geometry-optimized MnWOF2 structure.

Cell and atoms, written as CIF:
```
data_MnWOF2
_cell_length_a 3.9993
_cell_length_b 3.9993
_cell_length_c 4.3978
_cell_angle_alpha 90.00
_cell_angle_beta 90.00
_cell_angle_gamma 90.00
_space_group_name_H-M_alt 'P 1'
_space_group_IT_number 1
loop_
_space_group_symop_operation_xyz
'x,y,z'
loop_
_atom_site_label
_atom_site_type_symbol
_atom_site_fract_x
_atom_site_fract_y
_atom_site_fract_z
_atom_site_occupancy
Mn1 Mn 0.0000 0.0000 0.0000 1
W1 W 0.5000 0.5000 0.5000 1
O1 O 0.0000 0.0000 0.5000 1
F1 F 0.0000 0.5000 0.0000 1
F2 F 0.5000 0.0000 0.0000 1
```

Output
DOS at the Fermi energy (states/eV/f.u.): 0.80
Space group: P4/mmm, No. 123
Distance to the lowest polymorph of the same formula (meV per atom): 194
Crystal system: tetragonal

VASP calculation (PBE+U) on a geometry-optimized Mn3WO6F2 structure.

Cell and atoms, written as CIF:
```
data_Mn3WO6F2
_cell_length_a 5.9549
_cell_length_b 5.9549
_cell_length_c 4.7288
_cell_angle_alpha 93.63
_cell_angle_beta 93.63
_cell_angle_gamma 61.91
_space_group_name_H-M_alt 'P 1'
_space_group_IT_number 1
loop_
_space_group_symop_operation_xyz
'x,y,z'
loop_
_atom_site_label
_atom_site_type_symbol
_atom_site_fract_x
_atom_site_fract_y
_atom_site_fract_z
_atom_site_occupancy
Mn1 Mn 0.0000 0.0000 0.0000 1
Mn2 Mn 0.0000 0.5000 0.5000 1
Mn3 Mn 0.5000 0.0000 0.5000 1
W1 W 0.5000 0.5000 0.5000 1
O1 O 0.1906 0.6512 0.7199 1
O2 O 0.3249 0.3249 0.2939 1
O3 O 0.3488 0.8094 0.2801 1
O4 O 0.6512 0.1906 0.7199 1
O5 O 0.6751 0.6751 0.7061 1
O6 O 0.8094 0.3488 0.2801 1
F1 F 0.1676 0.1676 0.7523 1
F2 F 0.8324 0.8324 0.2477 1
```

Output
Space group: C2/m, No. 12
Crystal system: monoclinic

The records above yield magnetization values of 4.6, 5.6, 4.0, 6.4, 1.5, 8.8, 9.0, 13.0 μB per formula unit, respectively.
The records above yield V values of 60.9, 88.9, 71.6, 66.3, 66.2, 78.4, 70.3, 147.5 Å³ per cell, respectively.
The records above yield DFT total energy values of -37.90, -23.36, -27.53, -31.33, -28.15, -30.29, -29.32, -86.19 eV per cell, respectively.